# LaSc4Pt

A geometry-optimized LaSc4Pt structure (PBE, Alexandria).

```
data_LaSc4Pt
_chemical_formula_sum 'La4 Sc16 Pt4'
_space_group_name_H-M_alt 'F -4 3 m'
_space_group_IT_number 216
_space_group_name_Hall 'F -4 2 3'
_cell_length_a 8.311
_cell_length_b 8.311
_cell_length_c 8.311
_cell_angle_alpha 90.00
_cell_angle_beta 90.00
_cell_angle_gamma 90.00
loop_
_atom_site_label
_atom_site_fract_x
_atom_site_fract_y
_atom_site_fract_z
La1 0.000 0.000 0.000
Sc1 0.124 0.124 0.376
Pt1 0.250 0.250 0.750
```

Properties
- DFT formation energy: 99 kJ/mol of formula units
- Mass density: 5.94 g/cm³


# ReAgSb2

A geometry-optimized ReAgSb2 structure (PBE, Alexandria).

```
data_ReAgSb2
_chemical_formula_sum 'Re3 Ag3 Sb6'
_space_group_name_H-M_alt 'R -3 m'
_space_group_IT_number 166
_space_group_name_Hall '-R 3 2"'
_cell_length_a 3.3758
_cell_length_b 3.3758
_cell_length_c 25.5361
_cell_angle_alpha 90.00
_cell_angle_beta 90.00
_cell_angle_gamma 120.00
loop_
_atom_site_label
_atom_site_fract_x
_atom_site_fract_y
_atom_site_fract_z
Re1 0.0000 0.0000 0.0000
Ag1 0.0000 0.0000 0.5000
Sb1 0.0000 0.0000 0.2582
```

Properties
- E_form (uncorrected): 333 meV/atom
- Mass density: 10.63 g/cm³


# Hg2TeMoRu

A geometry-optimized Hg2TeMoRu structure (PBE, Alexandria).

```
data_Hg2TeMoRu
_chemical_formula_sum 'Hg2 Te1 Mo1 Ru1'
_space_group_name_H-M_alt 'P 4/m m m'
_space_group_IT_number 123
_space_group_name_Hall '-P 4 2'
_cell_length_a 5.530
_cell_length_b 5.530
_cell_length_c 4.914
_cell_angle_alpha 90.00
_cell_angle_beta 90.00
_cell_angle_gamma 90.00
loop_
_atom_site_label
_atom_site_fract_x
_atom_site_fract_y
_atom_site_fract_z
Hg1 0.000 0.500 0.000
Te1 0.000 0.000 0.000
Mo1 0.500 0.500 0.500
Ru1 0.000 0.000 0.500
```

Properties
- E_form (uncorrected): 1644 meV/atom
- Mass density: 8.02 g/cm³


# AlAsSe2

A geometry-optimized AlAsSe2 structure (PBE, Alexandria).

```
data_AlAsSe2
_chemical_formula_sum 'Al2 As2 Se4'
_space_group_name_H-M_alt 'C 1 m 1'
_space_group_IT_number 8
_cell_length_a 16.525
_cell_length_b 3.433
_cell_length_c 3.573
_cell_angle_alpha 90.00
_cell_angle_beta 102.43
_cell_angle_gamma 90.00
loop_
_space_group_symop_operation_xyz
'x,y,z'
'x,-y,z'
'x+1/2,y+1/2,z'
'x+1/2,-y+1/2,z'
loop_
_atom_site_label
_atom_site_fract_x
_atom_site_fract_y
_atom_site_fract_z
Al1 0.000 0.000 0.000
As1 0.144 0.500 0.143
Se1 0.206 0.000 0.704
Se2 0.447 0.000 0.447
```

Properties
- E_form (uncorrected): -124 meV/atom
- Mass density: 4.36 g/cm³


# ZnCrCu2

A geometry-optimized ZnCrCu2 structure (PBE, Alexandria).

```
data_ZnCrCu2
_chemical_formula_sum 'Zn1 Cr1 Cu2'
_space_group_name_H-M_alt 'P 4/m m m'
_space_group_IT_number 123
_space_group_name_Hall '-P 4 2'
_cell_length_a 3.801
_cell_length_b 3.801
_cell_length_c 3.725
_cell_angle_alpha 90.00
_cell_angle_beta 90.00
_cell_angle_gamma 90.00
loop_
_atom_site_label
_atom_site_fract_x
_atom_site_fract_y
_atom_site_fract_z
Zn1 0.000 0.000 0.000
Cr1 0.500 0.500 0.000
Cu1 0.000 0.500 0.500
```

Properties
- DFT formation energy: 60 kJ/mol of formula units
- Mass density: 7.54 g/cm³


# KCdSnAs

A geometry-optimized KCdSnAs structure (PBE, Alexandria).

```
data_KCdSnAs
_chemical_formula_sum 'K2 Cd2 Sn2 As2'
_space_group_name_H-M_alt 'C 1 m 1'
_space_group_IT_number 8
_cell_length_a 5.532
_cell_length_b 5.531
_cell_length_c 7.466
_cell_angle_alpha 90.00
_cell_angle_beta 90.10
_cell_angle_gamma 90.00
loop_
_space_group_symop_operation_xyz
'x,y,z'
'x,-y,z'
'x+1/2,y+1/2,z'
'x+1/2,-y+1/2,z'
loop_
_atom_site_label
_atom_site_fract_x
_atom_site_fract_y
_atom_site_fract_z
K1 0.000 0.000 0.000
Cd1 0.001 0.000 0.545
Sn1 0.001 0.500 0.331
As1 0.000 0.500 0.691
```

Properties
- DFT formation energy: -53 kJ/mol of formula units
- Mass density: 5.02 g/cm³


# LaCr2Cd

A geometry-optimized LaCr2Cd structure (PBE, Alexandria).

```
data_LaCr2Cd
_chemical_formula_sum 'La1 Cr2 Cd1'
_space_group_name_H-M_alt 'P 4/m m m'
_space_group_IT_number 123
_space_group_name_Hall '-P 4 2'
_cell_length_a 3.547
_cell_length_b 3.547
_cell_length_c 7.166
_cell_angle_alpha 90.00
_cell_angle_beta 90.00
_cell_angle_gamma 90.00
loop_
_atom_site_label
_atom_site_fract_x
_atom_site_fract_y
_atom_site_fract_z
La1 0.000 0.000 0.000
Cr1 0.500 0.500 0.290
Cd1 0.000 0.000 0.500
```

Properties
- DFT formation energy: 209 kJ/mol of formula units
- Mass density: 6.55 g/cm³


# TcNi2Cl

A geometry-optimized TcNi2Cl structure (PBE, Alexandria).

```
data_TcNi2Cl
_chemical_formula_sum 'Tc1 Ni2 Cl1'
_space_group_name_H-M_alt 'P 4/m m m'
_space_group_IT_number 123
_space_group_name_Hall '-P 4 2'
_cell_length_a 3.599
_cell_length_b 3.599
_cell_length_c 4.091
_cell_angle_alpha 90.00
_cell_angle_beta 90.00
_cell_angle_gamma 90.00
loop_
_atom_site_label
_atom_site_fract_x
_atom_site_fract_y
_atom_site_fract_z
Tc1 0.000 0.000 0.000
Ni1 0.000 0.500 0.500
Cl1 0.500 0.500 0.000
```

Properties
- E_form (uncorrected): 869 meV/atom
- Mass density: 7.86 g/cm³


# PmThTe4

A geometry-optimized PmThTe4 structure (PBE, Alexandria).

```
data_PmThTe4
_chemical_formula_sum 'Pm2 Th2 Te8'
_space_group_name_H-M_alt 'P 1 21/c 1'
_space_group_IT_number 14
_cell_length_a 7.616
_cell_length_b 7.683
_cell_length_c 7.755
_cell_angle_alpha 90.00
_cell_angle_beta 92.01
_cell_angle_gamma 90.00
loop_
_space_group_symop_operation_xyz
'x,y,z'
'-x,-y,-z'
'-x,y+1/2,-z+1/2'
'x,-y+1/2,z+1/2'
loop_
_atom_site_label
_atom_site_fract_x
_atom_site_fract_y
_atom_site_fract_z
Pm1 0.000 0.000 0.000
Th1 0.500 0.000 0.500
Te1 0.129 0.129 0.628
Te2 0.360 0.648 0.650
```

Properties
- E_form (uncorrected): -962 meV/atom
- Mass density: 6.50 g/cm³


# EuZnInAg

A geometry-optimized EuZnInAg structure (PBE, Alexandria).

```
data_EuZnInAg
_chemical_formula_sum 'Eu4 Zn4 In4 Ag4'
_space_group_name_H-M_alt 'F -4 3 m'
_space_group_IT_number 216
_space_group_name_Hall 'F -4 2 3'
_cell_length_a 7.106
_cell_length_b 7.106
_cell_length_c 7.106
_cell_angle_alpha 90.00
_cell_angle_beta 90.00
_cell_angle_gamma 90.00
loop_
_atom_site_label
_atom_site_fract_x
_atom_site_fract_y
_atom_site_fract_z
Eu1 0.000 0.000 0.000
Zn1 0.250 0.250 0.250
In1 0.000 0.000 0.500
Ag1 0.250 0.250 0.750
```

Properties
- DFT formation energy: -111 kJ/mol of formula units
- Mass density: 8.14 g/cm³


# BaBiH2O4

A geometry-optimized BaBiH2O4 structure (PBE, Alexandria).

```
data_BaBiH2O4
_chemical_formula_sum 'Ba2 Bi2 H4 O8'
_space_group_name_H-M_alt 'I 2 2 2'
_space_group_IT_number 23
_cell_length_a 4.916
_cell_length_b 6.359
_cell_length_c 7.155
_cell_angle_alpha 90.00
_cell_angle_beta 90.00
_cell_angle_gamma 90.00
loop_
_space_group_symop_operation_xyz
'x,y,z'
'-x,-y,z'
'x,-y,-z'
'-x,y,-z'
'x+1/2,y+1/2,z+1/2'
'-x+1/2,-y+1/2,z+1/2'
'x+1/2,-y+1/2,-z+1/2'
'-x+1/2,y+1/2,-z+1/2'
loop_
_atom_site_label
_atom_site_fract_x
_atom_site_fract_y
_atom_site_fract_z
Ba1 0.000 0.000 0.000
Bi1 0.000 0.000 0.500
H1 0.000 0.500 0.182
O1 0.192 0.374 0.810
```

Properties
- Total DFT energy (no corrections): -85.46 eV/cell
- Mass density: 6.12 g/cm³


# Sr2InPbAu6

A geometry-optimized Sr2InPbAu6 structure (PBE, Alexandria).

```
data_Sr2InPbAu6
_chemical_formula_sum 'Sr8 In4 Pb4 Au24'
_space_group_name_H-M_alt 'F m -3 m'
_space_group_IT_number 225
_space_group_name_Hall '-F 4 2 3'
_cell_length_a 10.639
_cell_length_b 10.639
_cell_length_c 10.639
_cell_angle_alpha 90.00
_cell_angle_beta 90.00
_cell_angle_gamma 90.00
loop_
_atom_site_label
_atom_site_fract_x
_atom_site_fract_y
_atom_site_fract_z
Sr1 0.250 0.250 0.250
In1 0.000 0.000 0.000
Pb1 0.000 0.000 0.500
Au1 0.000 0.000 0.246
```

Properties
- DFT formation energy: -158 kJ/mol of formula units
- Mass density: 9.26 g/cm³


- Which of these has the lowest mass density?
  AlAsSe2


- Which of these has the highest mass density?
  ReAgSb2